[1]
Density functional theory data (GGA-PBE) for a geometry-optimized La6IrRuPt2 structure.

Cell: 7.9005 7.9005 7.9005 Å, 54.83 54.83 54.83°
With the nearest neighbours (Å) after each atom.
Fractional coordinates of all 10 atoms:
La 0.0026 0.6556 0.3418  1 Ir 2.92, 1 Ru 2.93, 2 Pt 2.95-2.98
La 0.1530 0.5059 0.8380  1 Ru 2.87, 1 Ir 2.95, 2 Pt 2.97-2.99
La 0.3418 0.0026 0.6556  1 Ir 2.92, 1 Ru 2.93, 2 Pt 2.95-2.98
La 0.5059 0.8380 0.1530  1 Ru 2.87, 1 Ir 2.95, 2 Pt 2.97-2.99
La 0.6556 0.3418 0.0026  1 Ir 2.92, 1 Ru 2.93, 2 Pt 2.95-2.98
La 0.8380 0.1530 0.5059  1 Ru 2.87, 1 Ir 2.95, 2 Pt 2.97-2.99
Ir 0.2492 0.2492 0.2492  6 La 2.92-2.95
Ru 0.7501 0.7501 0.7501  6 La 2.87-2.93
Pt 0.0808 0.0808 0.0808  6 La 2.97-2.98
Pt 0.5816 0.5816 0.5816  6 La 2.95-2.99

Fermi-level density of states ... 5.76 states/eV/f.u.
Energy relative to the elements ... -0.7130 eV/atom
Final energy ... -66.913 eV per cell
Space-group type ... R3

---

[2]
Density functional theory data (GGA-PBE) for a geometry-optimized La6Ir2RuPt structure.

Cell: 7.2448 7.2548 7.8280 Å, 90.07 117.55 119.93°
With the nearest neighbours (Å) after each atom.
Fractional coordinates of all 10 atoms:
La 0.0000 0.0000 0.0000  1 Ru 2.91, 2 Ir 2.92-2.95, 1 Pt 2.98
La 0.0009 0.1703 0.5097  1 Ru 2.86, 2 Ir 2.91-2.92, 1 Pt 3.00
La 0.3196 0.6577 0.9993  1 Ru 2.90, 2 Ir 2.92-2.94, 1 Pt 2.98
La 0.3436 0.8309 0.5091  1 Ru 2.86, 2 Ir 2.91-2.92, 1 Pt 3.00
La 0.6607 0.4871 0.5095  1 Ru 2.86, 2 Ir 2.91-2.92, 1 Pt 3.00
La 0.6627 0.3206 0.9995  1 Ru 2.91, 2 Ir 2.93-2.94, 1 Pt 2.98
Ir 0.4996 0.0785 0.2566  6 La 2.91-2.95, 1 Ru 3.26
Ir 0.5029 0.5806 0.7618  6 La 2.92-2.93, 1 Pt 3.25
Ru 0.8275 0.2423 0.7488  6 La 2.86-2.91
Pt 0.8296 0.7435 0.2528  6 La 2.98-3.00, 1 Ir 3.25

Fermi-level density of states ... 4.39 states/eV/f.u.
Energy relative to the elements ... -0.6464 eV/atom
Final energy ... -69.067 eV per cell
Space-group type ... P1

---

[3]
Density functional theory data (GGA-PBE) for a geometry-optimized La2Si3IrPt12 structure.

Cell: 7.8652 7.8652 7.8652 Å, 62.60 62.60 62.60°
With the nearest neighbours (Å) after each atom.
Fractional coordinates of all 18 atoms:
La 0.1169 0.1169 0.1169  6 Pt 2.92-2.97
La 0.8831 0.8831 0.8831  6 Pt 2.92-2.97
Si 0.0000 0.5000 0.5000  6 Pt 2.33-2.37
Si 0.5000 0.0000 0.5000  6 Pt 2.33-2.37
Si 0.5000 0.5000 0.0000  6 Pt 2.33-2.37
Ir 0.5000 0.5000 0.5000  6 Pt 2.52
Pt 0.1198 0.6254 0.6254  1 Si 2.33, 1 Ir 2.52
Pt 0.1444 0.1444 0.6043  2 Si 2.37
Pt 0.1444 0.6043 0.1444  2 Si 2.37
Pt 0.3746 0.3746 0.8802  1 Si 2.33, 1 Ir 2.52
Pt 0.3746 0.8802 0.3746  1 Si 2.33, 1 Ir 2.52
Pt 0.3957 0.8556 0.8556  2 Si 2.37
Pt 0.6043 0.1444 0.1444  2 Si 2.37
Pt 0.6254 0.1198 0.6254  1 Si 2.33, 1 Ir 2.52
Pt 0.6254 0.6254 0.1198  1 Si 2.33, 1 Ir 2.52
Pt 0.8556 0.3957 0.8556  2 Si 2.37
Pt 0.8556 0.8556 0.3957  2 Si 2.37
Pt 0.8802 0.3746 0.3746  1 Si 2.33, 1 Ir 2.52

Fermi-level density of states ... 8.37 states/eV/f.u.
Final energy ... -115.035 eV per cell
Uncorrected formation energy ... -7.56 eV per formula unit
Space-group type ... R-3m

---

[4]
Density functional theory data (GGA-PBE) for a geometry-optimized LaSmIrPt structure.

Cell: 5.0642 5.0642 5.0642 Å, 60.00 60.00 60.00°
With the nearest neighbours (Å) after each atom.
Fractional coordinates of all 4 atoms:
La 0.0000 0.0000 0.0000  4 Ir 3.10, 4 Pt 3.10
Sm 0.5000 0.5000 0.5000  4 Pt 3.10, 4 Ir 3.10
Ir 0.2500 0.2500 0.2500  4 Sm 3.10, 4 La 3.10
Pt 0.7500 0.7500 0.7500  4 La 3.10, 4 Sm 3.10

Fermi-level density of states ... 1.78 states/eV/f.u.
Energy relative to the elements ... -0.8629 eV/atom
Final energy ... -28.000 eV per cell
Space-group type ... F-43m

---

[5]
Density functional theory data (GGA-PBE) for a geometry-optimized LaSmIrPt structure.

Cell: 4.4466 5.7923 5.7923 Å, 39.84 90.00 90.00°
With the nearest neighbours (Å) after each atom.
Fractional coordinates of all 4 atoms:
La 0.0000 0.0000 0.0000  3 Ir 2.91-3.22, 4 Pt 3.04
Sm 0.5000 0.2794 0.2794  4 Ir 3.02, 3 Pt 3.02-3.12
Ir 0.0000 0.7331 0.7331  3 La 2.91-3.22, 2 Pt 2.94, 4 Sm 3.02
Pt 0.5000 0.5569 0.5569  2 Ir 2.94, 3 Sm 3.02-3.12, 4 La 3.04

Fermi-level density of states ... 2.32 states/eV/f.u.
Energy relative to the elements ... -0.9425 eV/atom
Final energy ... -28.318 eV per cell
Space-group type ... Amm2

---

[6]
Density functional theory data (GGA-PBE) for a geometry-optimized La2Sn4IrPt3 structure.

Cell: 4.6041 4.6041 10.8037 Å, 90.00 90.00 90.00°
With the nearest neighbours (Å) after each atom.
Fractional coordinates of all 10 atoms:
La 0.0000 0.5000 0.2424  2 Ir 3.49, 6 Pt 3.49-3.53, 8 Sn 3.49-3.61
La 0.5000 0.0000 0.7576  2 Ir 3.49, 6 Pt 3.49-3.53, 8 Sn 3.49-3.61
Sn 0.0000 0.0000 0.5000  4 Pt 2.70
Sn 0.0000 0.5000 0.8732  3 Pt 2.61-2.68, 2 Ir 2.68
Sn 0.5000 0.0000 0.1268  3 Pt 2.61-2.68, 2 Ir 2.68
Sn 0.5000 0.5000 0.5000  4 Pt 2.70
Ir 0.5000 0.5000 0.0000  4 Sn 2.68
Pt 0.0000 0.0000 0.0000  4 Sn 2.68
Pt 0.0000 0.5000 0.6313  5 Sn 2.61-2.70
Pt 0.5000 0.0000 0.3687  5 Sn 2.61-2.70

Fermi-level density of states ... 6.60 states/eV/f.u.
Energy relative to the elements ... -0.8180 eV/atom
Final energy ... -61.029 eV per cell
Space-group type ... P-4m2

---

[7]
Density functional theory data (GGA-PBE) for a geometry-optimized La2TaIrPt structure.

Cell: 5.5822 5.5822 4.8256 Å, 90.00 90.00 90.00°
With the nearest neighbours (Å) after each atom.
Fractional coordinates of all 5 atoms:
La 0.0000 0.5000 0.0000  2 Pt 2.79
La 0.5000 0.0000 0.0000  2 Pt 2.79
Ta 0.0000 0.0000 0.5000  2 Pt 2.41
Ir 0.5000 0.5000 0.5000  8 La 3.69, 4 Ta 3.95
Pt 0.0000 0.0000 0.0000  2 Ta 2.41

Fermi-level density of states ... 5.52 states/eV/f.u.
Energy relative to the elements ... 0.5135 eV/atom
Final energy ... -34.042 eV per cell
Space-group type ... P4/mmm

---

[8]
Density functional theory data (GGA-PBE) for a geometry-optimized LaTbIrPt structure.

Cell: 5.0257 5.0257 5.0257 Å, 60.00 60.00 60.00°
With the nearest neighbours (Å) after each atom.
Fractional coordinates of all 4 atoms:
La 0.0000 0.0000 0.0000  4 Pt 3.08, 4 Ir 3.08
Tb 0.5000 0.5000 0.5000  4 Ir 3.08, 4 Pt 3.08
Ir 0.2500 0.2500 0.2500  4 Tb 3.08, 4 La 3.08
Pt 0.7500 0.7500 0.7500  4 Tb 3.08, 4 La 3.08

Fermi-level density of states ... 1.83 states/eV/f.u.
Energy relative to the elements ... -0.8994 eV/atom
Final energy ... -28.057 eV per cell
Space-group type ... F-43m

---

[9]
Density functional theory data (GGA-PBE) for a geometry-optimized LaTeIr2Pt structure.

Cell: 4.9057 4.9057 5.0330 Å, 90.00 90.00 90.00°
With the nearest neighbours (Å) after each atom.
Fractional coordinates of all 5 atoms:
La 0.0000 0.0000 0.0000  4 Pt 3.47, 8 Ir 3.51
Te 0.5000 0.5000 0.5000  4 Ir 2.45, 2 Pt 2.52
Ir 0.0000 0.5000 0.5000  2 Te 2.45
Ir 0.5000 0.0000 0.5000  2 Te 2.45
Pt 0.5000 0.5000 0.0000  2 Te 2.52

Fermi-level density of states ... 3.04 states/eV/f.u.
Final energy ... -30.365 eV per cell
Uncorrected formation energy ... 1.47 eV per formula unit
Space-group type ... P4/mmm

---

[10]
Density functional theory data (GGA-PBE) for a geometry-optimized La8Te4IrPt3 structure.

Cell: 9.1818 9.1818 9.1818 Å, 55.97 55.97 55.97°
With the nearest neighbours (Å) after each atom.
Fractional coordinates of all 16 atoms:
La 0.2382 0.2382 0.2382  3 Pt 2.99, 3 Te 3.32
La 0.2447 0.7341 0.7341  1 Ir 2.94, 2 Pt 3.00
La 0.2659 0.2659 0.7553  1 Ir 2.94, 2 Pt 3.00
La 0.2659 0.7553 0.2659  1 Ir 2.94, 2 Pt 3.00
La 0.7341 0.2447 0.7341  1 Ir 2.94, 2 Pt 3.00
La 0.7341 0.7341 0.2447  1 Ir 2.94, 2 Pt 3.00
La 0.7553 0.2659 0.2659  1 Ir 2.94, 2 Pt 3.00
La 0.7618 0.7618 0.7618  3 Pt 2.99, 3 Te 3.32
Te 0.0000 0.0000 0.0000  6 La 3.37
Te 0.0000 0.5000 0.5000  6 La 3.31-3.32
Te 0.5000 0.0000 0.5000  6 La 3.31-3.32
Te 0.5000 0.5000 0.0000  6 La 3.31-3.32
Ir 0.5000 0.5000 0.5000  6 La 2.94
Pt 0.0000 0.0000 0.5000  6 La 2.99-3.00
Pt 0.0000 0.5000 0.0000  6 La 2.99-3.00
Pt 0.5000 0.0000 0.0000  6 La 2.99-3.00

Fermi-level density of states ... 11.53 states/eV/f.u.
Final energy ... -100.181 eV per cell
Uncorrected formation energy ... -21.21 eV per formula unit
Space-group type ... R-3m

---

[11]
Density functional theory data (GGA-PBE) for a geometry-optimized LaTl2IrPt structure.

Cell: 5.1238 5.1238 5.5223 Å, 90.00 90.00 90.00°
With the nearest neighbours (Å) after each atom.
Fractional coordinates of all 5 atoms:
La 0.0000 0.0000 0.0000  2 Pt 2.76
Tl 0.0000 0.5000 0.5000  2 Pt 2.56
Tl 0.5000 0.0000 0.5000  2 Pt 2.56
Ir 0.5000 0.5000 0.0000  4 La 3.62, 8 Tl 3.77
Pt 0.0000 0.0000 0.5000  4 Tl 2.56, 2 La 2.76

Fermi-level density of states ... 3.44 states/eV/f.u.
Energy relative to the elements ... 0.3222 eV/atom
Final energy ... -22.951 eV per cell
Space-group type ... P4/mmm

---

[12]
Density functional theory data (GGA-PBE) for a geometry-optimized LaZn3IrPt structure.

Cell: 6.8576 6.8576 5.5930 Å, 90.00 90.00 109.89°
With the nearest neighbours (Å) after each atom.
Fractional coordinates of all 12 atoms:
La 0.2135 0.7865 0.7500  1 Ir 2.69
La 0.7865 0.2135 0.2500  1 Ir 2.69
Zn 0.2374 0.2374 0.0000  2 Ir 2.55, 2 Pt 2.60, 2 Zn 2.80
Zn 0.2374 0.2374 0.5000  2 Ir 2.55, 2 Pt 2.60, 2 Zn 2.80
Zn 0.3268 0.6732 0.2500  1 Ir 2.47, 1 Pt 2.53
Zn 0.6732 0.3268 0.7500  1 Ir 2.47, 1 Pt 2.53
Zn 0.7626 0.7626 0.0000  2 Ir 2.55, 2 Pt 2.60, 2 Zn 2.80
Zn 0.7626 0.7626 0.5000  2 Ir 2.55, 2 Pt 2.60, 2 Zn 2.80
Ir 0.4531 0.5469 0.7500  5 Zn 2.47-2.55, 1 La 2.69
Ir 0.5469 0.4531 0.2500  5 Zn 2.47-2.55, 1 La 2.69
Pt 0.1012 0.8988 0.2500  5 Zn 2.53-2.60
Pt 0.8988 0.1012 0.7500  5 Zn 2.53-2.60

Fermi-level density of states ... 2.27 states/eV/f.u.
Energy relative to the elements ... -0.4131 eV/atom
Final energy ... -52.259 eV per cell
Space-group type ... Cmcm

---

> Which value of Fermi-level density of states does entry 9 give?

3.04 states/eV/f.u.

---

> Which of these has the highest final energy?

LaTl2IrPt

---

> Which value of final energy does entry 10 give?

-100.181 eV per cell